(1)
# GGA-PBE SrTcN3, relaxed
data_SrTcN3
_chemical_formula_sum 'Sr2 Tc2 N6'
_symmetry_space_group_name_H-M 'P 63/m m c'
_symmetry_Int_Tables_number 194
_symmetry_space_group_name_Hall '-P 6c 2c'
_cell_length_a 3.6185
_cell_length_b 3.6185
_cell_length_c 13.1939
_cell_angle_alpha 90.00
_cell_angle_beta 90.00
_cell_angle_gamma 120.00
loop_
_atom_site_label
_atom_site_fract_x
_atom_site_fract_y
_atom_site_fract_z
Sr1 0.0000 0.0000 0.0000
Tc1 0.3333 0.6667 0.2500
N1 0.0000 0.0000 0.2500
N2 0.3333 0.6667 0.1100
# - Raw formation energy: 1.11 eV per formula unit

---

(2)
# GGA-PBE Zr2TlCu, relaxed
data_Zr2TlCu
_chemical_formula_sum 'Zr2 Tl1 Cu1'
_symmetry_space_group_name_H-M 'P 4/m m m'
_symmetry_Int_Tables_number 123
_symmetry_space_group_name_Hall '-P 4 2'
_cell_length_a 4.3620
_cell_length_b 4.3620
_cell_length_c 4.2514
_cell_angle_alpha 90.00
_cell_angle_beta 90.00
_cell_angle_gamma 90.00
loop_
_atom_site_label
_atom_site_fract_x
_atom_site_fract_y
_atom_site_fract_z
Zr1 0.0000 0.5000 0.0000
Tl1 0.0000 0.0000 0.5000
Cu1 0.5000 0.5000 0.5000
# - Total DFT energy (no corrections): -23.71 eV for the cell shown

---

(3)
# GGA-PBE Cs2TeIF6, relaxed
data_Cs2TeIF6
_chemical_formula_sum 'Cs4 Te2 I2 F12'
_symmetry_space_group_name_H-M 'I 4/m m m'
_symmetry_Int_Tables_number 139
_symmetry_space_group_name_Hall '-I 4 2'
_cell_length_a 7.3814
_cell_length_b 7.3814
_cell_length_c 10.1795
_cell_angle_alpha 90.00
_cell_angle_beta 90.00
_cell_angle_gamma 90.00
loop_
_atom_site_label
_atom_site_fract_x
_atom_site_fract_y
_atom_site_fract_z
Cs1 0.0000 0.5000 0.2500
Te1 0.0000 0.0000 0.0000
I1 0.0000 0.0000 0.5000
F1 0.0000 0.0000 0.2014
F2 0.1965 0.1965 0.0000
# - Raw formation energy: -20.93 eV per formula unit